(1)
Ba2LaSi: optimized geometry, PBE.

Unit cell a=6.6778 b=6.6778 c=6.6778 alpha=136.39 beta=136.39 gamma=63.38
Element x y z (fractional)
1 Ba 0.5000 0.5000 0.0000
2 Ba 0.0000 0.0000 0.0000
3 Si 0.7500 0.2500 0.5000
4 La 0.2500 0.7500 0.5000

Summary:
N(E_F)	0.9169	states/eV/atom
crystal system	tetragonal
symmetry	I4/mmm, No. 139
electronic total energy	-13.99	eV for the cell shown

(2)
La2Pr9Nd: optimized geometry, PBE.

Unit cell a=5.2538 b=5.2538 c=15.7656 alpha=90.00 beta=90.00 gamma=90.00
Element x y z (fractional)
1 Pr 0.5000 0.5000 0.6675
2 Pr 0.5000 0.5000 0.3325
3 Pr 0.0000 0.5000 0.1656
4 Pr 0.5000 0.0000 0.5000
5 Pr 0.5000 0.5000 0.0000
6 Pr 0.0000 0.5000 0.8344
7 Pr 0.0000 0.5000 0.5000
8 Pr 0.5000 0.0000 0.1656
9 Pr 0.5000 0.0000 0.8344
10 Nd 0.0000 0.0000 0.0000
11 La 0.0000 0.0000 0.3333
12 La 0.0000 0.0000 0.6667

Summary:
N(E_F)	1.7630	states/eV/atom
crystal system	tetragonal
formation enthalpy at 0 K	0.2	kcal/mol of atoms
symmetry	P4/mmm, No. 123
electronic total energy	-57.52	eV for the cell shown

(3)
In6S7: optimized geometry, PBE.

Unit cell a=3.9404 b=9.2386 c=17.5299 alpha=77.79 beta=90.00 gamma=90.00
Element x y z (fractional)
1 In 0.2500 0.5249 0.2769
2 In 0.7500 0.4751 0.7231
3 In 0.2500 0.3556 0.9534
4 In 0.2500 0.9757 0.6028
5 In 0.7500 0.8179 0.8125
6 In 0.7500 0.6444 0.0466
7 In 0.7500 0.0243 0.3972
8 In 0.2500 0.1821 0.1875
9 In 0.7500 0.0727 0.8764
10 In 0.2500 0.9274 0.1236
11 In 0.2500 0.6729 0.4684
12 In 0.7500 0.3271 0.5316
13 S 0.2500 0.1689 0.4675
14 S 0.2500 0.4632 0.5895
15 S 0.2500 0.8856 0.3486
16 S 0.7500 0.7494 0.1760
17 S 0.2500 0.4419 0.0896
18 S 0.2500 0.2506 0.8240
19 S 0.7500 0.1144 0.6514
20 S 0.7500 0.1666 0.0034
21 S 0.7500 0.2394 0.2711
22 S 0.2500 0.8334 0.9966
23 S 0.7500 0.5368 0.4105
24 S 0.7500 0.5581 0.9104
25 S 0.7500 0.8311 0.5325
26 S 0.2500 0.7606 0.7289

Summary:
N(E_F)	0.0019	states/eV/atom
crystal system	monoclinic
symmetry	P2_1/m, No. 11
electronic total energy	-103.87	eV for the cell shown

(4)
RbAg4Se2: optimized geometry, PBE.

Unit cell a=4.6335 b=4.6335 c=9.6591 alpha=76.12 beta=76.12 gamma=60.00
Element x y z (fractional)
1 Se 0.2522 0.2522 0.2434
2 Se 0.7478 0.7478 0.7566
3 Ag 0.5547 0.5547 0.3360
4 Ag 0.4453 0.4453 0.6640
5 Ag 0.8476 0.8476 0.4573
6 Ag 0.1524 0.1524 0.5427
7 Rb 0.0000 0.0000 0.0000

Summary:
N(E_F)	0.7158	states/eV/atom
crystal system	trigonal
symmetry	R-3m, No. 166
electronic total energy	-21.02	eV for the cell shown

(5)
SrErTl2: optimized geometry, PBE.

Unit cell a=3.8949 b=3.8949 c=7.9484 alpha=90.00 beta=90.00 gamma=90.00
Element x y z (fractional)
1 Tl 0.0000 0.0000 0.7753
2 Tl 0.0000 0.0000 0.2247
3 Er 0.5000 0.5000 0.0000
4 Sr 0.5000 0.5000 0.5000

Summary:
N(E_F)	0.5436	states/eV/atom
crystal system	tetragonal
formation enthalpy at 0 K	-8.5	kcal/mol of atoms
symmetry	P4/mmm, No. 123
electronic total energy	-12.45	eV for the cell shown

(6)
SmNpRu2: optimized geometry, PBE.

Unit cell a=4.9644 b=6.5604 c=10.2950 alpha=90.00 beta=90.00 gamma=90.00
Site moments in Bohr magnetons follow the coordinates.
Element x y z (fractional)
1 Ru 0.2500 0.3883 0.3581  -0.31
2 Ru 0.2500 0.2536 0.9749  -0.30
3 Ru 0.7500 0.6117 0.6419  -0.31
4 Ru 0.2500 0.8883 0.1419  -0.31
5 Ru 0.7500 0.2464 0.4749  -0.30
6 Ru 0.2500 0.7536 0.5251  -0.30
7 Ru 0.7500 0.1117 0.8581  -0.31
8 Ru 0.7500 0.7464 0.0251  -0.30
9 Sm 0.7500 0.1729 0.1630  0.07
10 Sm 0.2500 0.3271 0.6630  0.07
11 Sm 0.7500 0.6729 0.3370  0.07
12 Sm 0.2500 0.8271 0.8370  0.07
13 Np 0.2500 0.5303 0.1144  2.38
14 Np 0.2500 0.0303 0.3856  2.38
15 Np 0.7500 0.4697 0.8856  2.38
16 Np 0.7500 0.9697 0.6144  2.38

Summary:
N(E_F)	1.6989	states/eV/atom
crystal system	orthorhombic
formation enthalpy at 0 K	-3.7	kcal/mol of atoms
symmetry	Pnma, No. 62
electronic total energy	-147.43	eV for the cell shown

(7)
Ba2Tl2Cu: optimized geometry, PBE.

Unit cell a=7.9865 b=7.9865 c=5.4605 alpha=90.00 beta=90.00 gamma=90.00
Element x y z (fractional)
1 Ba 0.1647 0.6647 0.5000
2 Ba 0.6647 0.8353 0.5000
3 Ba 0.8353 0.3353 0.5000
4 Ba 0.3353 0.1647 0.5000
5 Tl 0.3550 0.8550 0.0000
6 Tl 0.1450 0.3550 0.0000
7 Tl 0.8550 0.6450 0.0000
8 Tl 0.6450 0.1450 0.0000
9 Cu 0.5000 0.5000 0.0000
10 Cu 0.0000 0.0000 0.0000

Summary:
N(E_F)	1.3416	states/eV/atom
energy above the lowest structure with this stoichiometry	0.0	meV per atom
crystal system	tetragonal
formation enthalpy at 0 K	-1.2	kcal/mol of atoms
symmetry	P4/mbm, No. 127
electronic total energy	-25.89	eV for the cell shown

(8)
HfVH: optimized geometry, PBE.

Unit cell a=3.4153 b=3.4153 c=3.4153 alpha=83.01 beta=83.01 gamma=83.01
Site moments in Bohr magnetons follow the coordinates.
Element x y z (fractional)
1 V 0.0423 0.0423 0.0423  1.04
2 H 0.7886 0.7886 0.7886  0.00
3 Hf 0.4992 0.4992 0.4992  0.12

Summary:
N(E_F)	1.0689	states/eV/atom
energy above the lowest structure with this stoichiometry	322.8	meV per atom
crystal system	trigonal
symmetry	R3m, No. 160
electronic total energy	-21.76	eV for the cell shown

(9)
Th2CdOs: optimized geometry, PBE.

Unit cell a=8.2027 b=5.7440 c=9.2717 alpha=90.00 beta=90.00 gamma=90.00
Element x y z (fractional)
1 Os 0.5903 0.9997 0.6287
2 Os 0.5903 0.4997 0.8713
3 Os 0.0903 0.5003 0.1287
4 Os 0.0903 0.0003 0.3713
5 Th 0.0471 0.0002 0.0640
6 Th 0.2364 0.5000 0.8741
7 Th 0.2364 0.0000 0.6259
8 Th 0.0471 0.5002 0.4360
9 Th 0.5471 0.4998 0.5640
10 Th 0.7364 0.0000 0.3741
11 Th 0.5471 0.9998 0.9360
12 Th 0.7364 0.5000 0.1259
13 Cd 0.3760 0.7504 0.2502
14 Cd 0.8760 0.2496 0.7498
15 Cd 0.3760 0.2504 0.2498
16 Cd 0.8760 0.7496 0.7502

Summary:
N(E_F)	0.7660	states/eV/atom
energy above the lowest structure with this stoichiometry	105.8	meV per atom
crystal system	orthorhombic
formation enthalpy at 0 K	-2.4	kcal/mol of atoms
symmetry	Pna2_1, No. 33
electronic total energy	-109.57	eV for the cell shown

(10)
Nd5SmEr4: optimized geometry, PBE.

Unit cell a=3.5874 b=10.5432 c=9.2949 alpha=83.72 beta=101.13 gamma=90.00
Element x y z (fractional)
1 Nd 0.1891 0.4026 0.3781
2 Nd 0.8109 0.5974 0.6219
3 Nd 0.8578 0.2296 0.7157
4 Nd 0.1422 0.7704 0.2843
5 Nd 0.5000 0.5000 0.0000
6 Er 0.9540 0.7623 0.9079
7 Er 0.0460 0.2377 0.0921
8 Er 0.6828 0.0872 0.3655
9 Er 0.3172 0.9128 0.6345
10 Sm 0.5000 0.0000 0.0000

Summary:
N(E_F)	1.5670	states/eV/atom
energy above the lowest structure with this stoichiometry	130.7	meV per atom
crystal system	monoclinic
formation enthalpy at 0 K	3.4	kcal/mol of atoms
symmetry	C2/m, No. 12
electronic total energy	-45.33	eV for the cell shown

(11)
PrNd3F: optimized geometry, PBE.

Unit cell a=5.2300 b=5.2300 c=5.2300 alpha=90.00 beta=90.00 gamma=90.00
Element x y z (fractional)
1 Nd 0.0000 0.5000 0.0000
2 Nd 0.5000 0.0000 0.0000
3 Nd 0.0000 0.0000 0.5000
4 Pr 0.5000 0.5000 0.5000
5 F 0.0000 0.0000 0.0000

Summary:
N(E_F)	0.9230	states/eV/atom
crystal system	cubic
symmetry	Pm-3m, No. 221
electronic total energy	-25.85	eV for the cell shown